# BaHOs3

An optimized crystal structure of BaHOs3 (GGA-PBE, Alexandria).

DFT total energy	-6.351	eV per atom
spin magnetization	1.38	μB/f.u.

a = 4.2704 Å, b = 4.2704 Å, c = 4.2704 Å
α = 90.00°, β = 90.00°, γ = 90.00°
Closest atoms and distances in Å follow each position.
Atoms (fractional coordinates):
Ba 0.5000 0.5000 0.5000  12 Os 3.02
Os 0.0000 0.0000 0.5000  2 H 2.14
Os 0.0000 0.5000 0.0000  2 H 2.14
Os 0.5000 0.0000 0.0000  2 H 2.14
H 0.0000 0.0000 0.0000  6 Os 2.14